First-principles (PBE with a Hubbard U) data for a relaxed Ca2NiOsO6 crystal, as listed in the Alexandria database.

Calculated values
**Magnetic moment**: 4.0 μB per formula unit
**N(E_F)**: 3.7 states/eV/f.u.
**Raw total energy**: -6.442 eV per atom

Unit cell a=3.9401 b=5.5441 c=5.5441 alpha=90.00 beta=90.00 gamma=90.00
Positions (direct):
Ca: 0.1108 0.5000 0.0000
Ca: 0.1108 0.0000 0.5000
Ni: 0.6444 0.5000 0.5000
Os: 0.6484 0.0000 0.0000
O: 0.6584 0.2424 0.2424
O: 0.6584 0.2424 0.7576
O: 0.1465 0.5000 0.5000
O: 0.1523 0.0000 0.0000
O: 0.6584 0.7576 0.7576
O: 0.6584 0.7576 0.2424